## HfCoAsO (PBE with a Hubbard U)

Data for HfCoAsO after structural relaxation.

abc: 4.1690 5.5115 5.5104
angles: 90.00 90.00 90.00
Last column: nearest neighbours and their distance in Å.
Space group Pmc2_1 (No. 26)
Unique sites:
Hf: 0.0000 0.2245 0.0000  2 O 2.09
Co: 0.5000 0.1241 0.6498  2 O 2.10
As: 0.0000 0.2724 0.5007  2 Co 2.38
O: 0.5000 0.2335 0.0158  2 Hf 2.09, 2 Co 2.10

Calculated values
Its density is 8.6 g cm⁻³. The magnetic moment is 2.0 μB/f.u. Its total energy is -7.3892 eV/atom.

---

## HfCoAsO (PBE with a Hubbard U)

Data for HfCoAsO after structural relaxation.

abc: 4.2155 4.2155 9.0268
angles: 90.00 90.00 90.00
Last column: nearest neighbours and their distance in Å.
Space group P4/nmm (No. 129, origin choice 2)
Unique sites:
Hf: 0.2500 0.7500 0.0000  4 As 2.63
Co: 0.2500 0.2500 0.4966  4 O 2.11
As: 0.2500 0.2500 0.1740  4 Hf 2.63, 1 Co 2.91
O: 0.2500 0.7500 0.5000  4 Co 2.11

Calculated values
Its density is 6.8 g cm⁻³. The magnetic moment is 3.0 μB/f.u. Its total energy is -6.5749 eV/atom.

---

## HfCoAsO (PBE with a Hubbard U)

Data for HfCoAsO after structural relaxation.

abc: 3.5705 5.9592 6.2111
angles: 90.00 90.00 90.00
Last column: nearest neighbours and their distance in Å.
Space group Pmc2_1 (No. 26)
Unique sites:
Hf: 0.0000 0.0024 0.0000  2 O 2.07-2.08
Co: 0.5000 0.3584 0.8670  2 O 2.08
As: 0.5000 0.2471 0.2535  2 Co 2.45-2.49
O: 0.0000 0.2309 0.7475  2 Hf 2.07-2.08, 2 Co 2.08

Calculated values
Its density is 8.3 g cm⁻³. The magnetic moment is 2.0 μB/f.u. Its total energy is -7.3308 eV/atom.

---

## HfCoAsO (PBE with a Hubbard U)

Data for HfCoAsO after structural relaxation.

abc: 3.6225 3.6225 8.4442
angles: 90.00 90.00 90.00
Last column: nearest neighbours and their distance in Å.
Space group P4/nmm (No. 129, origin choice 2)
Unique sites:
Hf: 0.2500 0.2500 0.1433  4 O 2.18
Co: 0.2500 0.7500 0.5000  4 As 2.46, 4 Co 2.56
As: 0.2500 0.2500 0.6978  4 Co 2.46
O: 0.2500 0.7500 0.0000  4 Hf 2.18

Calculated values
Its density is 9.8 g cm⁻³. The magnetic moment is 2.0 μB/f.u. Its total energy is -7.5299 eV/atom.